# Pm4ErTm3S8, relaxed, DFT PBE-GGA
data_Pm4ErTm3S8
_chemical_formula_sum 'Pm12 Er3 Tm9 S24'
_cell_length_a 7.8046
_cell_length_b 7.8046
_cell_length_c 19.7188
_cell_angle_alpha 90.00
_cell_angle_beta 90.00
_cell_angle_gamma 120.00
_symmetry_space_group_name_H-M 'R -3 m'
_symmetry_Int_Tables_number 166
_symmetry_space_group_name_Hall '-R 3 2"'
loop_
_atom_site_label
_atom_site_type_symbol
_atom_site_fract_x
_atom_site_fract_y
_atom_site_fract_z
Pm1 Pm 0.0000 0.0000 0.0000
Pm2 Pm 0.0000 0.5000 0.0000
Er1 Er 0.0000 0.0000 0.5000
Tm1 Tm 0.0000 0.5000 0.5000
S1 S 0.0000 0.0000 0.2435
S2 S 0.0011 0.5005 0.7563
# N(E_F) = 20.41 states/eV per cell
# Final energy = -0.2340 hartree per atom